PBE K2SbAs, optimized geometry; SG = I-42d; ΔE to the lowest computed polymorph = 263.4 meV per atom; density of states at the Fermi level = 0.95 states/eV/atom; formation energy from raw total energies = -0.1515 eV/atom
1.0
-6.361 6.361 2.722
6.361 -6.361 2.722
6.361 6.361 -2.722
K Sb As
4 2 2
Direct
0.375 0.123 0.248
0.873 0.625 0.748
0.875 0.127 0.752
0.877 0.125 0.252
0.250 0.750 0.500
0.500 0.500 0.000
0.000 0.000 0.000
0.750 0.250 0.500

=====

PBE KSbAs, optimized geometry; SG = F-43m; ΔE to the lowest computed polymorph = 800.7 meV per atom; density of states at the Fermi level = 0.88 states/eV/atom; formation energy from raw total energies = 0.5356 eV/atom
1.0
0.000 3.646 3.646
3.646 0.000 3.646
3.646 3.646 0.000
K Sb As
1 1 1
Direct
0.000 0.000 0.000
0.750 0.750 0.750
0.250 0.250 0.250

=====

PBE KSbAs, optimized geometry; SG = Fmm2; ΔE to the lowest computed polymorph = 0.0 meV per atom; density of states at the Fermi level = 0.35 states/eV/atom; formation energy from raw total energies = -0.2651 eV/atom
1.0
0.000 2.748 6.130
2.665 0.000 6.130
2.665 2.748 0.000
K Sb As
1 1 1
Direct
0.000 0.000 0.000
0.714 0.714 0.286
0.296 0.296 0.704

=====

PBE K2SbAs, optimized geometry; SG = P4/mmm; ΔE to the lowest computed polymorph = 214.2 meV per atom; density of states at the Fermi level = 0.56 states/eV/atom; formation energy from raw total energies = -0.2006 eV/atom
1.0
4.633 0.000 0.000
0.000 4.633 0.000
0.000 0.000 5.348
K Sb As
2 1 1
Direct
0.000 0.500 0.000
0.500 0.000 0.000
0.000 0.000 0.500
0.500 0.500 0.500

=====

PBE K3Sb2As, optimized geometry; SG = P2_1/c; formation energy from raw total energies = -0.4045 eV/atom
1.0
6.693 0.000 0.000
0.000 11.980 0.000
-4.673 0.000 11.324
K Sb As
12 8 4
Direct
0.190 0.170 0.067
0.190 0.330 0.567
0.221 0.675 0.783
0.221 0.825 0.283
0.285 0.520 0.205
0.285 0.980 0.705
0.715 0.020 0.295
0.715 0.480 0.795
0.779 0.175 0.717
0.779 0.325 0.217
0.810 0.670 0.433
0.810 0.830 0.933
0.304 0.075 0.444
0.304 0.425 0.944
0.352 0.593 0.504
0.352 0.907 0.004
0.648 0.093 0.996
0.648 0.407 0.496
0.696 0.575 0.056
0.696 0.925 0.556
0.410 0.249 0.845
0.410 0.251 0.345
0.590 0.749 0.655
0.590 0.751 0.155

=====

PBE K2SbAs, optimized geometry; SG = Cmmm; ΔE to the lowest computed polymorph = 215.1 meV per atom; density of states at the Fermi level = 0.25 states/eV/atom; formation energy from raw total energies = -0.1997 eV/atom
1.0
3.178 -5.334 0.000
3.178 5.334 0.000
0.000 0.000 3.407
K Sb As
2 1 1
Direct
0.000 0.500 0.000
0.500 0.000 0.000
0.000 0.000 0.500
0.500 0.500 0.500

=====

PBE KSbAs, optimized geometry; SG = P-6m2; ΔE to the lowest computed polymorph = 226.2 meV per atom; density of states at the Fermi level = 0.63 states/eV/atom; formation energy from raw total energies = -0.0389 eV/atom
1.0
5.447 0.000 0.000
-2.723 4.717 0.000
0.000 0.000 3.223
K Sb As
1 1 1
Direct
0.000 0.000 0.000
0.667 0.333 0.500
0.333 0.667 0.500

=====

PBE K2SbAs, optimized geometry; SG = C2/m; ΔE to the lowest computed polymorph = 384.4 meV per atom; density of states at the Fermi level = 0.59 states/eV/atom; formation energy from raw total energies = -0.0305 eV/atom
1.0
5.673 -1.691 0.000
5.673 1.691 0.000
-0.974 0.000 6.290
K Sb As
2 1 1
Direct
0.245 0.245 0.237
0.755 0.755 0.763
0.000 0.000 0.500
0.500 0.500 0.000